Record 1
Computed, not measured: Hf6AlSn2 after structural relaxation at the GGA-PBE level of DFT.

Output
energy = -8.10 eV per atom

Cell lengths 5.622, 7.670, 9.263 Å; angles 90.00, 88.36, 90.00 degrees
Atoms (fractional coordinates):
Hf 0.625 0.161 0.965
Hf 0.897 0.707 0.955
Hf 0.365 0.542 0.718
Hf 0.375 0.839 0.035
Hf 0.635 0.458 0.282
Hf 0.865 0.958 0.218
Hf 0.397 0.793 0.455
Hf 0.603 0.207 0.545
Hf 0.125 0.339 0.465
Hf 0.103 0.293 0.045
Hf 0.135 0.042 0.782
Hf 0.875 0.661 0.535
Sn 0.619 0.895 0.737
Sn 0.381 0.105 0.263
Sn 0.119 0.605 0.237
Sn 0.881 0.395 0.763
Al 0.500 0.500 0.000
Al 0.000 0.000 0.500

---

Record 2
Computed, not measured: Hf4AlSn after structural relaxation at the GGA-PBE level of DFT.

Output
energy = -8.21 eV per atom

Cell lengths 5.479, 6.843, 6.843 Å; angles 90.00, 90.00, 90.00 degrees
Atoms (fractional coordinates):
Hf 0.000 0.357 0.159
Hf 0.500 0.643 0.159
Hf 0.000 0.841 0.357
Hf 0.500 0.841 0.643
Hf 0.000 0.159 0.643
Hf 0.500 0.159 0.357
Hf 0.000 0.643 0.841
Hf 0.500 0.357 0.841
Al 0.250 0.500 0.500
Al 0.750 0.500 0.500
Sn 0.250 0.000 0.000
Sn 0.750 0.000 0.000

---

Record 3
Computed, not measured: Hf5AlSn4 after structural relaxation at the GGA-PBE level of DFT.

Output
energy = -7.10 eV per atom

Cell lengths 4.495, 9.131, 11.086 Å; angles 90.00, 90.00, 90.00 degrees
Atoms (fractional coordinates):
Sn 0.749 0.192 0.500
Sn 0.749 0.808 0.500
Sn 0.251 0.000 0.753
Sn 0.251 0.692 0.000
Sn 0.251 0.308 0.000
Sn 0.251 0.000 0.247
Sn 0.749 0.500 0.253
Sn 0.749 0.500 0.747
Hf 0.751 0.819 0.854
Hf 0.751 0.500 0.000
Hf 0.249 0.319 0.646
Hf 0.249 0.681 0.354
Hf 0.751 0.819 0.146
Hf 0.249 0.000 0.500
Hf 0.249 0.681 0.646
Hf 0.249 0.319 0.354
Hf 0.751 0.181 0.146
Hf 0.751 0.181 0.854
Al 0.251 0.000 0.000
Al 0.749 0.500 0.500

---

Record 4
Computed, not measured: Hf12Al3Sn after structural relaxation at the GGA-PBE level of DFT.

Output
energy = -8.65 eV per atom

Cell lengths 4.338, 4.338, 17.595 Å; angles 90.00, 90.00, 90.00 degrees
Atoms (fractional coordinates):
Al 0.000 0.000 0.253
Al 0.000 0.000 0.500
Al 0.000 0.000 0.747
Hf 0.500 0.500 0.254
Hf 0.000 0.500 0.868
Hf 0.000 0.500 0.377
Hf 0.500 0.000 0.377
Hf 0.500 0.500 0.500
Hf 0.500 0.000 0.623
Hf 0.500 0.000 0.132
Hf 0.000 0.500 0.132
Hf 0.500 0.500 0.000
Hf 0.500 0.500 0.746
Hf 0.000 0.500 0.623
Hf 0.500 0.000 0.868
Sn 0.000 0.000 0.000

---

Record 5
Computed, not measured: Hf7AlSn3 after structural relaxation at the GGA-PBE level of DFT.

Output
energy = -7.73 eV per atom

Cell lengths 5.254, 7.423, 7.423 Å; angles 90.31, 110.74, 110.74 degrees
Atoms (fractional coordinates):
Sn 0.500 0.000 0.000
Sn 0.000 0.771 0.229
Sn 0.000 0.229 0.771
Hf 0.000 0.500 0.500
Hf 0.335 0.077 0.591
Hf 0.665 0.923 0.409
Hf 0.806 0.807 0.807
Hf 0.194 0.193 0.193
Hf 0.335 0.591 0.077
Hf 0.665 0.409 0.923
Al 0.500 0.500 0.500

---

Record 6
Computed, not measured: SrHfAl3 after structural relaxation at the GGA-PBE level of DFT.

Output
energy = -2.91 eV per atom

Cell lengths 5.236, 5.236, 5.236 Å; angles 90.00, 90.00, 90.00 degrees
Atoms (fractional coordinates):
Al 0.000 0.000 0.500
Al 0.500 0.000 0.000
Al 0.000 0.500 0.000
Sr 0.000 0.000 0.000
Hf 0.500 0.500 0.500

---

Record 7
Computed, not measured: Sr2HfAl2 after structural relaxation at the GGA-PBE level of DFT.

Output
energy = -4.01 eV per atom

Cell lengths 7.477, 7.477, 5.291 Å; angles 90.00, 90.00, 90.00 degrees
Atoms (fractional coordinates):
Sr 0.176 0.676 0.500
Sr 0.324 0.176 0.500
Sr 0.676 0.824 0.500
Sr 0.824 0.324 0.500
Al 0.371 0.871 0.000
Al 0.629 0.129 0.000
Al 0.871 0.629 0.000
Al 0.129 0.371 0.000
Hf 0.000 0.000 0.000
Hf 0.500 0.500 0.000

---

Record 8
Computed, not measured: SrHf2Al after structural relaxation at the GGA-PBE level of DFT.

Output
energy = -5.48 eV per atom

Cell lengths 5.154, 5.154, 10.844 Å; angles 76.25, 76.25, 90.00 degrees
Atoms (fractional coordinates):
Hf 0.400 0.625 0.250
Hf 0.350 0.125 0.250
Hf 0.875 0.600 0.750
Hf 0.375 0.650 0.750
Al 0.250 0.750 0.500
Al 0.500 0.500 0.000
Sr 0.000 0.000 0.000
Sr 0.750 0.250 0.500

---

Record 9
Computed, not measured: SrHf2Al2 after structural relaxation at the GGA-PBE level of DFT.

Output
energy = -5.88 eV per atom

Cell lengths 8.642, 8.642, 3.059 Å; angles 90.00, 90.00, 90.00 degrees
Atoms (fractional coordinates):
Al 0.831 0.331 0.500
Al 0.331 0.169 0.500
Al 0.169 0.669 0.500
Al 0.669 0.831 0.500
Hf 0.623 0.123 0.000
Hf 0.377 0.877 0.000
Hf 0.123 0.377 0.000
Hf 0.877 0.623 0.000
Sr 0.500 0.500 0.000
Sr 0.000 0.000 0.000

---

Record 10
Computed, not measured: SrHfAl2 after structural relaxation at the GGA-PBE level of DFT.

Output
energy = -4.71 eV per atom

Cell lengths 5.068, 5.068, 5.068 Å; angles 60.00, 60.00, 60.00 degrees
Atoms (fractional coordinates):
Al 0.750 0.750 0.750
Al 0.250 0.250 0.250
Hf 0.500 0.500 0.500
Sr 0.000 0.000 0.000

---

Record 11
Computed, not measured: SrHfAl2 after structural relaxation at the GGA-PBE level of DFT.

Output
energy = -4.26 eV per atom

Cell lengths 5.000, 5.000, 10.379 Å; angles 76.06, 76.06, 90.00 degrees
Atoms (fractional coordinates):
Sr 0.250 0.750 0.500
Sr 0.500 0.500 0.000
Al 0.986 0.625 0.250
Al 0.764 0.125 0.250
Al 0.375 0.236 0.750
Al 0.875 0.014 0.750
Hf 0.000 0.000 0.000
Hf 0.750 0.250 0.500

---

Record 12
Computed, not measured: Sr2HfAl after structural relaxation at the GGA-PBE level of DFT.

Output
energy = -3.53 eV per atom

Cell lengths 8.993, 8.993, 7.102 Å; angles 50.71, 50.71, 90.00 degrees
Atoms (fractional coordinates):
Hf 0.000 0.000 0.000
Hf 0.750 0.250 0.500
Sr 0.875 0.845 0.750
Sr 0.155 0.625 0.250
Sr 0.375 0.405 0.750
Sr 0.595 0.125 0.250
Al 0.500 0.500 0.000
Al 0.250 0.750 0.500

---

Record 13
Computed, not measured: SrHfAl3 after structural relaxation at the GGA-PBE level of DFT.

Output
energy = -4.24 eV per atom

Cell lengths 5.269, 5.269, 5.269 Å; angles 90.00, 90.00, 90.00 degrees
Each line ends with the local moment (μB).
Atoms (fractional coordinates):
Al 0.000 0.000 0.500  0.02
Al 0.500 0.000 0.000  0.03
Al 0.000 0.500 0.000  0.04
Hf 0.000 0.000 0.000  0.41
Sr 0.500 0.500 0.500  0.00

---

Record 14
Computed, not measured: SrHfZr2Al after structural relaxation at the GGA-PBE level of DFT.

Output
energy = -5.87 eV per atom

Cell lengths 5.189, 5.496, 5.189 Å; angles 90.00, 90.00, 90.00 degrees
Atoms (fractional coordinates):
Sr 0.500 0.500 0.500
Zr 0.500 0.000 0.000
Zr 0.000 0.000 0.500
Al 0.000 0.500 0.000
Hf 0.000 0.000 0.000

---

Record 15
Computed, not measured: HfTa3Al after structural relaxation at the GGA-PBE level of DFT.

Output
energy = -8.79 eV per atom

Cell lengths 4.734, 4.734, 4.734 Å; angles 90.00, 90.00, 90.00 degrees
Atoms (fractional coordinates):
Hf 0.500 0.500 0.500
Ta 0.000 0.500 0.000
Ta 0.000 0.000 0.500
Ta 0.500 0.000 0.000
Al 0.000 0.000 0.000

---

Record 16
Computed, not measured: HfTa2Al after structural relaxation at the GGA-PBE level of DFT.

Output
energy = -8.82 eV per atom

Cell lengths 7.636, 7.636, 6.050 Å; angles 50.87, 50.87, 90.00 degrees
Atoms (fractional coordinates):
Ta 0.154 0.625 0.250
Ta 0.875 0.846 0.750
Ta 0.375 0.404 0.750
Ta 0.596 0.125 0.250
Al 0.250 0.750 0.500
Al 0.500 0.500 0.000
Hf 0.000 0.000 0.000
Hf 0.750 0.250 0.500

---

Record 17
Computed, not measured: Hf6TaAl3 after structural relaxation at the GGA-PBE level of DFT.

Output
energy = -8.48 eV per atom

Cell lengths 4.927, 8.201, 10.586 Å; angles 112.08, 90.00, 90.00 degrees
Atoms (fractional coordinates):
Al 0.250 0.767 0.970
Al 0.750 0.233 0.030
Al 0.750 0.444 0.627
Al 0.250 0.367 0.774
Al 0.750 0.633 0.226
Al 0.250 0.556 0.373
Hf 0.750 0.745 0.520
Hf 0.750 0.155 0.723
Hf 0.250 0.455 0.076
Hf 0.750 0.345 0.327
Hf 0.750 0.926 0.127
Hf 0.750 0.851 0.832
Hf 0.250 0.255 0.480
Hf 0.250 0.149 0.168
Hf 0.750 0.545 0.924
Hf 0.250 0.655 0.673
Hf 0.250 0.074 0.873
Hf 0.250 0.845 0.277
Ta 0.250 0.964 0.576
Ta 0.750 0.036 0.424

---

Record 18
Computed, not measured: HfTaAl after structural relaxation at the GGA-PBE level of DFT.

Output
energy = -8.64 eV per atom

Cell lengths 3.472, 3.472, 5.275 Å; angles 109.21, 109.21, 90.00 degrees
Atoms (fractional coordinates):
Ta 0.291 0.291 0.582
Al 0.942 0.942 0.885
Hf 0.617 0.617 0.233

---

Record 19
Computed, not measured: HfTaAl2 after structural relaxation at the GGA-PBE level of DFT.

Output
energy = -7.38 eV per atom

Cell lengths 4.640, 4.640, 4.640 Å; angles 60.00, 60.00, 60.00 degrees
Atoms (fractional coordinates):
Hf 0.000 0.000 0.000
Al 0.750 0.750 0.750
Al 0.250 0.250 0.250
Ta 0.500 0.500 0.500

---

Record 20
Computed, not measured: HfTa2Al after structural relaxation at the GGA-PBE level of DFT.

Output
energy = -9.47 eV per atom

Cell lengths 4.572, 4.024, 4.024 Å; angles 90.00, 90.00, 90.00 degrees
Atoms (fractional coordinates):
Hf 0.500 0.000 0.000
Al 0.500 0.500 0.500
Ta 0.000 0.000 0.500
Ta 0.000 0.500 0.000

---

Record 21
Computed, not measured: HfTaAl after structural relaxation at the GGA-PBE level of DFT.

Output
energy = -8.47 eV per atom

Cell lengths 4.574, 4.574, 7.162 Å; angles 71.38, 71.38, 60.00 degrees
Atoms (fractional coordinates):
Ta 0.357 0.357 0.930
Ta 0.643 0.643 0.070
Al 0.934 0.934 0.197
Al 0.066 0.066 0.803
Hf 0.788 0.788 0.637
Hf 0.212 0.212 0.363

---

Number 1: Fermi-level density of states 0.832 states/eV per atom, total magnetic moment 0.00 μB/cell, formation energy -0.163 eV per atom. Number 2: Fermi-level density of states 0.815 states/eV per atom, total magnetic moment 0.00 μB/cell, formation energy -0.280 eV per atom. Number 3: Fermi-level density of states 0.600 states/eV per atom, total magnetic moment 0.00 μB/cell, formation energy -0.148 eV per atom. Number 4: Fermi-level density of states 0.826 states/eV per atom, total magnetic moment 0.00 μB/cell, formation energy -0.236 eV per atom. Number 5: Fermi-level density of states 0.998 states/eV per atom, total magnetic moment 0.00 μB/cell, formation energy 0.031 eV per atom. Number 6: Fermi-level density of states 0.908 states/eV per atom, total magnetic moment 0.00 μB/cell, formation energy 1.666 eV per atom. Number 7: Fermi-level density of states 1.219 states/eV per atom, total magnetic moment 0.00 μB/cell, formation energy 0.153 eV per atom. Number 8: Fermi-level density of states 1.463 states/eV per atom, total magnetic moment 0.00 μB/cell, formation energy 0.849 eV per atom. Number 9: Fermi-level density of states 0.971 states/eV per atom, total magnetic moment 0.00 μB/cell, formation energy -0.065 eV per atom. Number 10: Fermi-level density of states 0.533 states/eV per atom, total magnetic moment 0.00 μB/cell, formation energy 0.074 eV per atom. Number 11: Fermi-level density of states 0.526 states/eV per atom, total magnetic moment 0.00 μB/cell, formation energy 0.519 eV per atom. Number 12: Fermi-level density of states 1.089 states/eV per atom, total magnetic moment 0.00 μB/cell, formation energy 0.731 eV per atom. Number 13: Fermi-level density of states 0.861 states/eV per atom, total magnetic moment 0.85 μB/cell, formation energy 0.329 eV per atom. Number 14: Fermi-level density of states 0.733 states/eV per atom, total magnetic moment 0.00 μB/cell, formation energy 0.622 eV per atom. Number 15: Fermi-level density of states 0.699 states/eV per atom, total magnetic moment 0.00 μB/cell, formation energy 1.058 eV per atom. Number 16: Fermi-level density of states 0.561 states/eV per atom, total magnetic moment 0.00 μB/cell, formation energy 0.534 eV per atom. Number 17: Fermi-level density of states 0.853 states/eV per atom, total magnetic moment 0.00 μB/cell, formation energy -0.201 eV per atom. Number 18: Fermi-level density of states 0.892 states/eV per atom, total magnetic moment 0.00 μB/cell, formation energy -0.127 eV per atom. Number 19: Fermi-level density of states 0.677 states/eV per atom, total magnetic moment 0.00 μB/cell, formation energy -0.061 eV per atom. Number 20: Fermi-level density of states 1.065 states/eV per atom, total magnetic moment 0.00 μB/cell, formation energy -0.124 eV per atom. Number 21: Fermi-level density of states 0.826 states/eV per atom, total magnetic moment 0.00 μB/cell, formation energy 0.043 eV per atom.